The following is a PBE-GGA calculation of a relaxed Ba8AgRh2 crystal, from Alexandria.

- E above lowest polymorph (meV/atom) = 0
- calculated volume (Å³/f.u.) = 509
- energy relative to the elements (eV per atom) = -0.108
- crystal system = monoclinic
- total magnetization (μB/atom) = 0.000
- density of states at the Fermi level (states/eV per cell) = 17.7

Cell: 17.7466 7.9705 7.5529 Å, 90.00 107.70 90.00°
Space group C2/m (No. 12)
Symmetry-distinct sites (fractional):
Ba  0.0785  0.0000  0.2782 [4 per cell]
Ba  0.1377  0.2553  0.8501 [8 per cell]
Ba  0.1859  0.5000  0.3826 [4 per cell]
Ag  0.0000  0.5000  0.0000 [2 per cell]
Rh  0.2282  0.0000  0.1920 [4 per cell]

---

The following is a PBE-GGA calculation of a relaxed Ba6AgRh2 crystal, from Alexandria.

- E above lowest polymorph (meV/atom) = 42
- calculated volume (Å³/f.u.) = 421
- energy relative to the elements (eV per atom) = -0.144
- crystal system = monoclinic
- total magnetization (μB/atom) = 0.000
- density of states at the Fermi level (states/eV per cell) = 14.8

Cell: 15.0909 6.0606 10.4789 Å, 90.00 118.52 90.00°
Space group C2/m (No. 12)
Symmetry-distinct sites (fractional):
Ba  0.0184  0.0000  0.2000 [4 per cell]
Ba  0.1566  0.5000  0.5926 [4 per cell]
Ba  0.2012  0.5000  0.0863 [4 per cell]
Ag  0.0000  0.0000  0.5000 [2 per cell]
Rh  0.1797  0.0000  0.1072 [4 per cell]

---

The following is a PBE-GGA calculation of a relaxed Ba4AgRh crystal, from Alexandria.

- E above lowest polymorph (meV/atom) = 939
- calculated volume (Å³/f.u.) = 232
- energy relative to the elements (eV per atom) = 0.768
- crystal system = cubic
- total magnetization (μB/atom) = 0.000
- density of states at the Fermi level (states/eV per cell) = 25.9

Cell: 9.7537 9.7537 9.7537 Å, 90.00 90.00 90.00°
Space group F-43m (No. 216)
Symmetry-distinct sites (fractional):
Ba  0.1244  0.1244  0.1244 [16 per cell]
Ag  0.0000  0.0000  0.5000 [4 per cell]
Rh  0.2500  0.2500  0.7500 [4 per cell]